AcZrPt3: optimized geometry, PBE.

Cell lengths 13.8223, 13.8223, 4.2876 Å; angles 90.00, 90.00, 164.06 degrees
Fractional positions:
1 Ac 0.0762 0.9238 0.7500
2 Ac 0.9238 0.0762 0.2500
3 Zr 0.2083 0.7917 0.2500
4 Zr 0.7917 0.2083 0.7500
5 Pt 0.3050 0.6950 0.2500
6 Pt 0.3682 0.6318 0.7500
7 Pt 0.4681 0.5319 0.7500
8 Pt 0.5319 0.4681 0.2500
9 Pt 0.6318 0.3682 0.2500
10 Pt 0.6950 0.3050 0.7500

The calculated total energy is -7.171 eV per atom. Its symmetry is Cmcm (63).